*i*
First-principles (PBE) data for crystalline NdHo3Tm4 at its relaxed geometry, as listed in Alexandria.

The total magnetization is 0.001 μB per formula unit. The density of states at the Fermi level comes out at 12.99 states/eV/f.u. Its space-group type is No. 31.

Cell lengths 6.229, 7.216, 11.173 Å; angles 90.00, 90.00, 90.00 degrees
Sites, in units of the cell vectors:
Tm: 0.148 0.877 0.000
Tm: 0.481 0.877 0.752
Tm: 0.981 0.123 0.748
Tm: 0.648 0.123 0.500
Tm: 0.648 0.123 0.000
Tm: 0.148 0.877 0.500
Tm: 0.981 0.123 0.252
Tm: 0.481 0.877 0.248
Ho: 0.647 0.627 0.000
Ho: 0.981 0.627 0.250
Ho: 0.981 0.627 0.750
Ho: 0.481 0.373 0.250
Ho: 0.481 0.373 0.750
Ho: 0.147 0.373 0.500
Nd: 0.147 0.374 0.000
Nd: 0.647 0.626 0.500

=====

*ii*
First-principles (PBE) data for crystalline NdHo3Tm4 at its relaxed geometry, as listed in Alexandria.

The total magnetization is 0.000 μB per formula unit. The density of states at the Fermi level comes out at 13.51 states/eV/f.u. Its space-group type is No. 65.

Cell lengths 5.588, 3.522, 13.313 Å; angles 90.01, 102.11, 90.00 degrees
Sites, in units of the cell vectors:
Ho: 0.843 0.000 0.685
Ho: 0.157 0.000 0.315
Ho: 0.000 0.500 0.000
Tm: 0.724 0.501 0.448
Tm: 0.605 0.500 0.210
Tm: 0.276 0.499 0.552
Tm: 0.395 0.500 0.790
Nd: 0.500 0.000 0.000

=====

Unit: kJ/mol of atoms. Relative energies: *i* 0.0; *ii* 21.7.

=====

*i*
First-principles (PBE) data for crystalline Nd3Ho7Tm at its relaxed geometry, as listed in Alexandria.

The total magnetization is 0.000 μB per formula unit. The density of states at the Fermi level comes out at 16.49 states/eV/f.u. Its space-group type is No. 156.

Cell lengths 8.656, 7.048, 7.048 Å; angles 120.00, 90.00, 90.00 degrees
Sites, in units of the cell vectors:
Ho: 0.445 0.833 0.167
Ho: 0.445 0.833 0.665
Ho: 0.122 0.667 0.333
Ho: 0.122 0.168 0.832
Ho: 0.122 0.168 0.335
Ho: 0.445 0.335 0.167
Ho: 0.122 0.665 0.832
Tm: 0.444 0.333 0.667
Nd: 0.783 0.000 0.500
Nd: 0.783 0.500 0.500
Nd: 0.783 0.500 0.000

=====

*ii*
First-principles (PBE) data for crystalline Nd3Ho7Tm at its relaxed geometry, as listed in Alexandria.

The total magnetization is 0.000 μB per formula unit. The density of states at the Fermi level comes out at 16.22 states/eV/f.u. Its space-group type is No. 10.

Cell lengths 8.851, 10.146, 5.508 Å; angles 90.01, 128.47, 106.63 degrees
Sites, in units of the cell vectors:
Ho: 0.361 0.711 0.861
Ho: 0.901 0.829 0.901
Ho: 0.099 0.171 0.099
Ho: 0.500 0.000 0.500
Ho: 0.814 0.635 0.314
Ho: 0.186 0.365 0.686
Ho: 0.639 0.289 0.139
Nd: 0.215 0.994 0.715
Nd: 0.000 0.500 0.000
Nd: 0.785 0.006 0.285
Tm: 0.500 0.500 0.500

=====

Unit: kJ/mol of atoms. Relative energies: *i* 2.6; *ii* 0.0.

=====

*i*
First-principles (PBE) data for crystalline NdHoTm at its relaxed geometry, as listed in Alexandria.

The total magnetization is 0.000 μB per formula unit. The density of states at the Fermi level comes out at 5.57 states/eV/f.u. Its space-group type is No. 63.

Cell lengths 5.705, 3.625, 10.843 Å; angles 120.14, 90.00, 90.00 degrees
Sites, in units of the cell vectors:
Tm: 0.938 0.095 0.379
Tm: 0.438 0.756 0.154
Nd: 0.438 0.758 0.488
Nd: 0.938 0.094 0.045
Ho: 0.938 0.092 0.711
Ho: 0.438 0.759 0.822

=====

*ii*
First-principles (PBE) data for crystalline NdHoTm at its relaxed geometry, as listed in Alexandria.

The total magnetization is 0.000 μB per formula unit. The density of states at the Fermi level comes out at 4.26 states/eV/f.u. Its space-group type is No. 107.

Cell lengths 3.567, 3.567, 7.973 Å; angles 102.92, 102.92, 90.00 degrees
Sites, in units of the cell vectors:
Nd: 0.000 0.000 0.999
Tm: 0.331 0.331 0.663
Ho: 0.669 0.669 0.338

=====

*iii*
First-principles (PBE) data for crystalline NdHoTm at its relaxed geometry, as listed in Alexandria.

The total magnetization is 0.000 μB per formula unit. The density of states at the Fermi level comes out at 4.81 states/eV/f.u. Its space-group type is No. 63.

Cell lengths 3.526, 5.404, 10.283 Å; angles 90.00, 99.87, 90.00 degrees
Sites, in units of the cell vectors:
Tm: 0.959 0.750 0.419
Tm: 0.041 0.250 0.581
Ho: 0.613 0.750 0.725
Ho: 0.387 0.250 0.275
Nd: 0.794 0.750 0.089
Nd: 0.206 0.250 0.911

=====

*iv*
First-principles (PBE) data for crystalline NdHoTm at its relaxed geometry, as listed in Alexandria.

The total magnetization is 0.000 μB per formula unit. The density of states at the Fermi level comes out at 4.22 states/eV/f.u. Its space-group type is No. 129.

Cell lengths 4.842, 4.842, 8.625 Å; angles 90.00, 90.00, 90.00 degrees
Sites, in units of the cell vectors:
Ho: 0.500 0.500 0.000
Ho: 0.000 0.000 0.000
Tm: 0.500 0.000 0.294
Tm: 0.000 0.500 0.706
Nd: 0.000 0.500 0.306
Nd: 0.500 0.000 0.694

=====

Unit: kJ/mol of atoms. Relative energies: *i* 0.0; *ii* 1.0; *iii* 2.2; *iv* 19.2.

=====

*i*
First-principles (PBE) data for crystalline Nd6HoTm12 at its relaxed geometry, as listed in Alexandria.

The total magnetization is 0.001 μB per formula unit. The density of states at the Fermi level comes out at 30.73 states/eV/f.u. Its space-group type is No. 166.

Cell lengths 8.676, 8.676, 8.676 Å; angles 98.70, 98.70, 98.70 degrees
Sites, in units of the cell vectors:
Tm: 0.244 0.756 0.500
Tm: 0.355 0.081 0.355
Tm: 0.919 0.645 0.645
Tm: 0.355 0.355 0.081
Tm: 0.756 0.244 0.500
Tm: 0.244 0.500 0.756
Tm: 0.500 0.756 0.244
Tm: 0.500 0.244 0.756
Tm: 0.645 0.919 0.645
Tm: 0.756 0.500 0.244
Tm: 0.081 0.355 0.355
Tm: 0.645 0.645 0.919
Nd: 0.902 0.344 0.902
Nd: 0.344 0.902 0.902
Nd: 0.098 0.656 0.098
Nd: 0.902 0.902 0.344
Nd: 0.656 0.098 0.098
Nd: 0.098 0.098 0.656
Ho: 0.000 0.000 0.000

=====

*ii*
First-principles (PBE) data for crystalline Nd6HoTm12 at its relaxed geometry, as listed in Alexandria.

The total magnetization is 0.000 μB per formula unit. The density of states at the Fermi level comes out at 28.36 states/eV/f.u. Its space-group type is No. 166.

Cell lengths 8.614, 8.614, 8.614 Å; angles 79.60, 79.60, 79.60 degrees
Sites, in units of the cell vectors:
Tm: 0.484 0.137 0.137
Tm: 0.516 0.863 0.863
Tm: 0.487 0.487 0.805
Tm: 0.863 0.516 0.863
Tm: 0.195 0.513 0.513
Tm: 0.513 0.513 0.195
Tm: 0.137 0.137 0.484
Tm: 0.137 0.484 0.137
Tm: 0.513 0.195 0.513
Tm: 0.487 0.805 0.487
Tm: 0.863 0.863 0.516
Tm: 0.805 0.487 0.487
Nd: 0.767 0.164 0.767
Nd: 0.767 0.767 0.164
Nd: 0.233 0.233 0.836
Nd: 0.233 0.836 0.233
Nd: 0.836 0.233 0.233
Nd: 0.164 0.767 0.767
Ho: 0.000 0.000 0.000

=====

Unit: kJ/mol of atoms. Relative energies: *i* 9.2; *ii* 0.0.

=====

*i*
First-principles (PBE) data for crystalline Nd3HoTm4 at its relaxed geometry, as listed in Alexandria.

The total magnetization is 0.000 μB per formula unit. The density of states at the Fermi level comes out at 12.06 states/eV/f.u. Its space-group type is No. 2.

Cell lengths 3.470, 11.614, 8.869 Å; angles 130.93, 101.23, 89.86 degrees
Sites, in units of the cell vectors:
Tm: 0.364 0.110 0.730
Tm: 0.636 0.890 0.270
Tm: 0.362 0.620 0.730
Tm: 0.638 0.380 0.270
Ho: 0.500 0.000 0.000
Nd: 0.756 0.756 0.512
Nd: 0.000 0.500 0.000
Nd: 0.244 0.244 0.488

=====

*ii*
First-principles (PBE) data for crystalline Nd3HoTm4 at its relaxed geometry, as listed in Alexandria.

The total magnetization is 0.002 μB per formula unit. The density of states at the Fermi level comes out at 14.28 states/eV/f.u. Its space-group type is No. 31.

Cell lengths 6.264, 7.285, 11.371 Å; angles 90.00, 90.00, 90.00 degrees
Sites, in units of the cell vectors:
Nd: 0.983 0.627 0.250
Nd: 0.483 0.373 0.750
Nd: 0.146 0.372 0.500
Nd: 0.983 0.627 0.750
Nd: 0.483 0.373 0.250
Nd: 0.646 0.628 0.000
Tm: 0.148 0.880 0.500
Tm: 0.647 0.121 0.500
Tm: 0.147 0.879 0.000
Tm: 0.981 0.121 0.752
Tm: 0.981 0.121 0.248
Tm: 0.648 0.120 0.000
Tm: 0.481 0.879 0.748
Tm: 0.481 0.879 0.252
Ho: 0.145 0.369 0.000
Ho: 0.645 0.631 0.500

=====

Unit: kJ/mol of atoms. Relative energies: *i* 11.4; *ii* 0.0.

=====

*i*
First-principles (PBE) data for crystalline Nd2Ho7Tm2 at its relaxed geometry, as listed in Alexandria.

The total magnetization is 0.000 μB per formula unit. The density of states at the Fermi level comes out at 17.52 states/eV/f.u. Its space-group type is No. 12.

Cell lengths 6.054, 8.010, 8.010 Å; angles 91.33, 73.67, 73.67 degrees
Sites, in units of the cell vectors:
Ho: 0.000 0.000 0.000
Ho: 0.820 0.938 0.412
Ho: 0.820 0.412 0.938
Ho: 0.581 0.773 0.773
Ho: 0.180 0.062 0.588
Ho: 0.419 0.227 0.227
Ho: 0.180 0.588 0.062
Tm: 0.500 0.786 0.214
Tm: 0.500 0.214 0.786
Nd: 0.804 0.411 0.411
Nd: 0.196 0.589 0.589

=====

*ii*
First-principles (PBE) data for crystalline Nd2Ho7Tm2 at its relaxed geometry, as listed in Alexandria.

The total magnetization is 0.000 μB per formula unit. The density of states at the Fermi level comes out at 15.03 states/eV/f.u. Its space-group type is No. 12.

Cell lengths 3.577, 10.497, 10.497 Å; angles 66.68, 99.91, 99.91 degrees
Sites, in units of the cell vectors:
Tm: 0.299 0.800 0.800
Tm: 0.701 0.200 0.200
Nd: 0.500 0.268 0.732
Nd: 0.500 0.732 0.268
Ho: 0.381 0.377 0.377
Ho: 0.619 0.623 0.623
Ho: 0.000 0.000 0.000
Ho: 0.832 0.581 0.083
Ho: 0.168 0.917 0.419
Ho: 0.832 0.083 0.581
Ho: 0.168 0.419 0.917

=====

Unit: kJ/mol of atoms. Relative energies: *i* 2.1; *ii* 0.0.